This record from Alexandria via LeMat-Bulk describes a relaxed AcAl2Zn4Cd crystal. The functional is PBE-GGA.

Output
Energy of formation from the pure elements ... -0.1126 eV per atom
Total magnetization ... 0.000 μB/f.u.

Cell and atoms, written as POSCAR:
```
AcAl2Zn4Cd
1.0
-2.954 3.215 -0.849
-3.191 0.926 2.957
3.717 7.791 4.919
Ac Al Zn Cd
1 2 4 1
direct
0.000 0.000 0.000
0.754 0.754 0.738
0.246 0.246 0.262
0.403 0.403 0.791
0.879 0.879 0.363
0.121 0.121 0.637
0.597 0.597 0.209
0.500 0.500 0.500
```